Record 1
TaNi | PBE-GGA | relaxed

Its energy of formation is 1.186 eV/atom. The calculation puts the calculated density at 9.69 g/cm³.

The structure belongs to space group F-43m (No. 216); the cell edges are 5.477, 5.477 and 5.477 Å and the angles 90.00°, 90.00° and 90.00°. The inequivalent atoms are Ta at (0.000, 0.000, 0.000) and Ni at (0.250, 0.250, 0.250).


Record 2
TaNi2 | PBE-GGA | relaxed

Its energy of formation is 0.380 eV/atom. The calculation puts the calculated density at 10.40 g/cm³.

The structure belongs to space group Fm-3m (No. 225); the cell edges are 5.755, 5.755 and 5.755 Å and the angles 90.00°, 90.00° and 90.00°. The inequivalent atoms are Ta at (0.000, 0.000, 0.000) and Ni at (0.250, 0.250, 0.250).


Record 3
TaNi7 | PBE-GGA | relaxed

Its energy of formation is -0.121 eV/atom. The calculation puts the calculated density at 10.50 g/cm³. The offset from the most stable computed form is 1.87 kJ per mole of atoms.

The structure belongs to space group Fm-3m (No. 225); the cell edges are 7.207, 7.207 and 7.207 Å and the angles 90.00°, 90.00° and 90.00°. The inequivalent atoms are Ta at (0.000, 0.000, 0.000), Ni at (0.000, 0.000, 0.500) and Ni at (0.000, 0.250, 0.250).


Record 4
TaNi3 | PBE-GGA | relaxed

Its energy of formation is -0.181 eV/atom. The calculation puts the calculated density at 11.62 g/cm³.

The structure belongs to space group P4/mmm (No. 123); the cell edges are 3.162, 3.162 and 5.101 Å and the angles 90.00°, 90.00° and 90.00°. The inequivalent atoms are Ta at (0.000, 0.000, 0.000), Ni at (0.000, 0.000, 0.500) and Ni at (0.500, 0.500, 0.258).